First-principles (SCAN) data for LaMn3I at its PBEsol-relaxed geometry, as listed in the Alexandria database.

The structure in POSCAR format:
```
LaMn3I
1.0
4.794 0.000 0.000
0.000 4.794 0.000
0.000 0.000 4.794
La Mn I
1 3 1
direct
0.000 0.000 0.000
0.500 0.000 0.000
0.000 0.000 0.500
0.000 0.500 0.000
0.500 0.500 0.500
```

Output
Its crystal system is cubic. The calculation puts the volume at 22.0 A^3/atom. The formation energy (no corrections) is 1.5013 eV per atom.